# 1
! InHRh3 | Alexandria via LeMat-Bulk | GGA-PBE | relaxed; values from VASP
! Raw total energy: -5.752 eV/atom
! Crystal system: triclinic
&SYSTEM
  ibrav = 0, nat = 10, ntyp = 3
/
ATOMIC_SPECIES
H 1.01 H.upf
Rh 102.91 Rh.upf
In 114.82 In.upf
ATOMIC_POSITIONS angstrom
H -0.692 0.567 -0.273
Rh -6.307 -1.311 0.111
Rh -4.120 3.090 1.082
Rh -8.891 0.001 0.108
H -7.300 0.064 0.917
Rh -1.642 1.643 1.160
In -3.952 0.308 0.530
In -8.929 2.773 0.743
Rh -4.528 2.131 -1.498
Rh -6.441 1.601 0.589
CELL_PARAMETERS angstrom
-3.023 3.247 -2.051
-6.625 -3.461 1.000
-2.032 2.287 2.635

---

# 2
! NbNi2Mo | Alexandria via LeMat-Bulk | GGA-PBE | relaxed; values from VASP
! Raw total energy: -7.764 eV/atom
! Energy of formation: 8.12 kcal/mol of atoms
! Crystal system: tetragonal
&SYSTEM
  ibrav = 0, nat = 8, ntyp = 3
/
ATOMIC_SPECIES
Ni 58.69 Ni.upf
Nb 92.91 Nb.upf
Mo 95.94 Mo.upf
ATOMIC_POSITIONS angstrom
Ni -5.782 -2.537 10.445
Nb -2.174 -1.728 3.924
Nb -1.407 -1.360 7.455
Mo 0.000 0.000 0.000
Ni -3.637 -0.785 6.429
Ni -4.437 -1.178 2.955
Ni -0.153 -1.081 5.285
Mo -5.598 -1.431 5.102
CELL_PARAMETERS angstrom
-6.365 -1.798 1.570
2.017 -1.657 6.277
-2.656 0.665 4.710

---

# 3
! Zr2NiW | Alexandria via LeMat-Bulk | GGA-PBE | relaxed; values from VASP
! Raw total energy: -8.753 eV/atom
! Energy of formation: 4.71 kcal/mol of atoms
! Crystal system: trigonal
&SYSTEM
  ibrav = 0, nat = 4, ntyp = 3
/
ATOMIC_SPECIES
Ni 58.69 Ni.upf
Zr 91.22 Zr.upf
W 183.84 W.upf
ATOMIC_POSITIONS angstrom
Ni -3.686 -3.695 -3.364
Zr -14.691 -14.729 -13.407
Zr -7.424 -7.443 -6.775
W -11.057 -11.086 -10.091
CELL_PARAMETERS angstrom
-3.593 -5.065 -5.781
-4.972 -6.144 -3.085
-6.178 -3.572 -4.589

---

# 4
! UMoC2 | Alexandria via LeMat-Bulk | GGA-PBE | relaxed; values from VASP
! Raw total energy: -10.323 eV/atom
! Energy of formation: -4.18 kcal/mol of atoms
! Crystal system: trigonal
&SYSTEM
  ibrav = 0, nat = 4, ntyp = 3
/
ATOMIC_SPECIES
C 12.01 C.upf
Mo 95.94 Mo.upf
U 238.03 U.upf
ATOMIC_POSITIONS angstrom
C -0.003 -1.288 1.821
Mo 0.000 0.000 0.000
C 0.116 -3.658 6.003
U 0.056 -2.473 3.912
CELL_PARAMETERS angstrom
-1.954 -2.234 1.300
1.183 -2.899 0.834
0.885 0.187 5.691

---

Repeat the third record exactly.
! Zr2NiW | Alexandria via LeMat-Bulk | GGA-PBE | relaxed; values from VASP
! Raw total energy: -8.753 eV/atom
! Energy of formation: 4.71 kcal/mol of atoms
! Crystal system: trigonal
&SYSTEM
  ibrav = 0, nat = 4, ntyp = 3
/
ATOMIC_SPECIES
Ni 58.69 Ni.upf
Zr 91.22 Zr.upf
W 183.84 W.upf
ATOMIC_POSITIONS angstrom
Ni -3.686 -3.695 -3.364
Zr -14.691 -14.729 -13.407
Zr -7.424 -7.443 -6.775
W -11.057 -11.086 -10.091
CELL_PARAMETERS angstrom
-3.593 -5.065 -5.781
-4.972 -6.144 -3.085
-6.178 -3.572 -4.589

---

Please write out number 3 again, unchanged.
! Zr2NiW | Alexandria via LeMat-Bulk | GGA-PBE | relaxed; values from VASP
! Raw total energy: -8.753 eV/atom
! Energy of formation: 4.71 kcal/mol of atoms
! Crystal system: trigonal
&SYSTEM
  ibrav = 0, nat = 4, ntyp = 3
/
ATOMIC_SPECIES
Ni 58.69 Ni.upf
Zr 91.22 Zr.upf
W 183.84 W.upf
ATOMIC_POSITIONS angstrom
Ni -3.686 -3.695 -3.364
Zr -14.691 -14.729 -13.407
Zr -7.424 -7.443 -6.775
W -11.057 -11.086 -10.091
CELL_PARAMETERS angstrom
-3.593 -5.065 -5.781
-4.972 -6.144 -3.085
-6.178 -3.572 -4.589